# PBE-GGA LaCeHo2Tl4, optimized geometry
data_LaCeHo2Tl4
_chemical_formula_sum 'La1 Ce1 Ho2 Tl4'
_cell_length_a 5.4663
_cell_length_b 5.4663
_cell_length_c 9.4798
_cell_angle_alpha 73.24
_cell_angle_beta 73.24
_cell_angle_gamma 60.00
_symmetry_space_group_name_H-M 'P 1'
_symmetry_Int_Tables_number 1
_symmetry_space_group_name_Hall 'P 1'
loop_
_atom_site_label
_atom_site_type_symbol
_atom_site_fract_x
_atom_site_fract_y
_atom_site_fract_z
La1 La 0.0000 0.0000 0.0000
Ce1 Ce 0.5000 0.5000 0.5000
Ho1 Ho 0.7501 0.7501 0.7496
Ho2 Ho 0.2499 0.2499 0.2504
Tl1 Tl 0.3761 0.3761 0.8718
Tl2 Tl 0.8741 0.8741 0.3777
Tl3 Tl 0.1259 0.1259 0.6223
Tl4 Tl 0.6239 0.6239 0.1282
# **Magnetization**: 1.05 μB/f.u.
# **Calculated total energy**: -0.2947 Ry/atom
# **DFT formation energy**: -0.324 eV/atom